# 1
Compound: CaMnCr2
Source: Alexandria via LeMat-Bulk
Functional: PBE-GGA
Structure: relaxed

Summary:
Total magnetic moment = 4.725 Bohr magnetons per cell
Theoretical density = 4682 kg/m³
Total DFT energy (no corrections) = -7.16 eV per atom
Volume = 17.647 A^3/atom

Unit cell a=3.0462 b=3.0462 c=7.6071 alpha=90.00 beta=90.00 gamma=90.00
Space group P4mm (No. 99)
Inequivalent atoms, fractional coordinates:
Ca (0.0000, 0.0000, 0.0000) [1 per cell]
Mn (0.5000, 0.5000, 0.6765) [1 per cell]
Cr (0.0000, 0.0000, 0.4921) [1 per cell]
Cr (0.5000, 0.5000, 0.3198) [1 per cell]

***

# 2
Compound: CeSeI
Source: Alexandria via LeMat-Bulk
Functional: PBE-GGA
Structure: relaxed

Summary:
Total magnetic moment = 2.001 Bohr magnetons per cell
Theoretical density = 4477 kg/m³
E_form (uncorrected) = -1608 meV/atom
Total DFT energy (no corrections) = -5.26 eV per atom
Volume = 42.779 A^3/atom

Unit cell a=4.4852 b=5.7815 c=9.8985 alpha=90.00 beta=90.30 gamma=90.00
Space group P2_1/m (No. 11)
Inequivalent atoms, fractional coordinates:
Ce (0.2488, 0.2500, 0.3733) [2 per cell]
Se (0.2488, 0.7500, 0.4297) [2 per cell]
I (0.2537, 0.7500, 0.8529) [2 per cell]

***

# 3
Compound: ScPPtCl2
Source: Alexandria via LeMat-Bulk
Functional: PBE-GGA
Structure: relaxed

Summary:
Total magnetic moment = 0.151 Bohr magnetons per cell
Theoretical density = 5126 kg/m³
E_form (uncorrected) = -75 meV/atom
Total DFT energy (no corrections) = -4.37 eV per atom
Volume = 22.151 A^3/atom

Unit cell a=4.7647 b=4.7647 c=4.8785 alpha=90.00 beta=90.00 gamma=90.00
Space group P4/mmm (No. 123)
Inequivalent atoms, fractional coordinates:
Sc (0.0000, 0.0000, 0.0000) [1 per cell]
P (0.5000, 0.5000, 0.0000) [1 per cell]
Pt (0.5000, 0.5000, 0.5000) [1 per cell]
Cl (0.0000, 0.5000, 0.5000) [2 per cell]

***

# 4
Compound: Y3ErNi2
Source: Alexandria via LeMat-Bulk
Functional: PBE-GGA
Structure: relaxed

Summary:
Total magnetic moment = 0.000 Bohr magnetons per cell
Theoretical density = 6160 kg/m³
Total DFT energy (no corrections) = -6.21 eV per atom
Volume = 24.774 A^3/atom

Unit cell a=16.1646 b=3.8674 c=11.3671 alpha=90.00 beta=123.21 gamma=90.00
Space group C2/m (No. 12)
Inequivalent atoms, fractional coordinates:
Y (0.0814, 0.0000, 0.4386) [4 per cell]
Y (0.0810, 0.0000, 0.9408) [4 per cell]
Y (0.1547, 0.5000, 0.7456) [4 per cell]
Er (0.1566, 0.5000, 0.2482) [4 per cell]
Ni (0.2315, 0.5000, 0.0493) [4 per cell]
Ni (0.2322, 0.5000, 0.5499) [4 per cell]

***

# 5
Compound: Hf2NbTlRh
Source: Alexandria via LeMat-Bulk
Functional: PBE-GGA
Structure: relaxed

Summary:
Total magnetic moment = 0.000 Bohr magnetons per cell
Theoretical density = 10088 kg/m³
Total DFT energy (no corrections) = -7.11 eV per atom
Volume = 24.927 A^3/atom

Unit cell a=5.1595 b=5.1595 c=4.6818 alpha=90.00 beta=90.00 gamma=90.00
Space group P4/mmm (No. 123)
Inequivalent atoms, fractional coordinates:
Hf (0.0000, 0.5000, 0.0000) [2 per cell]
Nb (0.0000, 0.0000, 0.0000) [1 per cell]
Tl (0.5000, 0.5000, 0.5000) [1 per cell]
Rh (0.0000, 0.0000, 0.5000) [1 per cell]

***

# 6
Compound: MnPRh3
Source: Alexandria via LeMat-Bulk
Functional: PBE-GGA
Structure: relaxed

Summary:
Total magnetic moment = 0.000 Bohr magnetons per cell
Theoretical density = 7587 kg/m³
Total DFT energy (no corrections) = -6.19 eV per atom
Volume = 17.274 A^3/atom

Unit cell a=4.4203 b=4.4203 c=4.4203 alpha=90.00 beta=90.00 gamma=90.00
Space group Pm-3m (No. 221)
Inequivalent atoms, fractional coordinates:
Mn (0.0000, 0.0000, 0.0000) [1 per cell]
P (0.5000, 0.5000, 0.5000) [1 per cell]
Rh (0.0000, 0.0000, 0.5000) [3 per cell]